Density functional theory data (PBE-GGA) for Th4B3Rh12Au after structural relaxation.

Output
As for the formation energy: -0.6418 eV/atom. Its space group is Im-3m. For the calculated total energy, the calculation gives -7.7021 eV per atom.

Cell: 7.6360 7.6360 7.6360 Å, 109.47 109.47 109.47°
Positions (direct):
Th  0.0000  0.0000  0.5000
Th  0.0000  0.5000  0.0000
Th  0.5000  0.0000  0.0000
Th  0.5000  0.5000  0.5000
B  0.0000  0.5000  0.5000
B  0.5000  0.0000  0.5000
B  0.5000  0.5000  0.0000
Rh  0.0000  0.2832  0.2832
Rh  0.0000  0.7168  0.7168
Rh  0.2500  0.5000  0.7500
Rh  0.2500  0.7500  0.5000
Rh  0.2832  0.0000  0.2832
Rh  0.2832  0.2832  0.0000
Rh  0.5000  0.2500  0.7500
Rh  0.5000  0.7500  0.2500
Rh  0.7168  0.0000  0.7168
Rh  0.7168  0.7168  0.0000
Rh  0.7500  0.2500  0.5000
Rh  0.7500  0.5000  0.2500
Au  0.0000  0.0000  0.0000